A relaxed structure of Ti5Co4Ag, computed with PBE-GGA.

The value obtained for the magnetization is 0.077 μB per atom. For the energy relative to the elements, the calculation gives -0.290 eV/atom. The value obtained for the volume is 14.01 A^3/atom.

Cell lengths 2.900, 2.900, 16.668 Å; angles 90.00, 90.00, 90.00 degrees
Space group P4/mmm (No. 123)
Asymmetric unit:
1 Ti 0.000 0.000 0.000 [1 per cell]
2 Ti 0.000 0.000 0.186 [2 per cell]
3 Ti 0.000 0.000 0.372 [2 per cell]
4 Co 0.500 0.500 0.093 [2 per cell]
5 Co 0.500 0.500 0.276 [2 per cell]
6 Ag 0.500 0.500 0.500 [1 per cell]